Model a:
! CdB4Sb | OQMD via LeMat-Bulk | PBE | optimized geometry; values from VASP
! Calculated density: 6.4 g cm⁻³
! Crystal system: orthorhombic
&SYSTEM
  ibrav = 0, nat = 6, ntyp = 3
/
ATOMIC_SPECIES
Cd 112.41 Cd.upf
B 10.81 B.upf
Sb 121.76 Sb.upf
CELL_PARAMETERS angstrom
-1.558 2.707 4.286
1.558 -2.707 4.286
1.558 2.707 -4.286
ATOMIC_POSITIONS crystal
Cd 0.000 0.000 0.000
B 0.078 0.746 0.332
B 0.414 0.746 0.668
B 0.586 0.254 0.332
B 0.922 0.254 0.668
Sb 0.500 0.500 0.000

Model b:
! CdB4Sb | OQMD via LeMat-Bulk | PBE | optimized geometry; values from VASP
! Calculated density: 6.4 g cm⁻³
! Crystal system: hexagonal
&SYSTEM
  ibrav = 0, nat = 6, ntyp = 3
/
ATOMIC_SPECIES
Cd 112.41 Cd.upf
B 10.81 B.upf
Sb 121.76 Sb.upf
CELL_PARAMETERS angstrom
3.113 0.000 0.000
-1.557 2.696 0.000
0.000 0.000 8.536
ATOMIC_POSITIONS crystal
Cd 0.000 0.000 0.000
B 0.333 0.667 0.239
B 0.333 0.667 0.761
B 0.667 0.333 0.239
B 0.667 0.333 0.761
Sb 0.000 0.000 0.500

The computed energies, referenced to the most stable structure and given in meV per atom, are model a 11; model b 0.

Model a:
! ScCdB4 | OQMD via LeMat-Bulk | PBE | optimized geometry; values from VASP
! Calculated density: 5.2 g cm⁻³
! Crystal system: hexagonal
&SYSTEM
  ibrav = 0, nat = 6, ntyp = 3
/
ATOMIC_SPECIES
Sc 44.96 Sc.upf
Cd 112.41 Cd.upf
B 10.81 B.upf
CELL_PARAMETERS angstrom
3.156 0.000 0.000
-1.578 2.733 0.000
0.000 0.000 7.381
ATOMIC_POSITIONS crystal
Sc 0.000 0.000 0.000
Cd 0.000 0.000 0.500
B 0.333 0.667 0.229
B 0.333 0.667 0.771
B 0.667 0.333 0.229
B 0.667 0.333 0.771

Model b:
! ScCdB4 | OQMD via LeMat-Bulk | PBE | optimized geometry; values from VASP
! Calculated density: 5.3 g cm⁻³
! Crystal system: orthorhombic
&SYSTEM
  ibrav = 0, nat = 6, ntyp = 3
/
ATOMIC_SPECIES
Sc 44.96 Sc.upf
Cd 112.41 Cd.upf
B 10.81 B.upf
CELL_PARAMETERS angstrom
-1.568 2.656 3.800
1.568 -2.656 3.800
1.568 2.656 -3.800
ATOMIC_POSITIONS crystal
Sc 0.000 0.000 0.000
Cd 0.500 0.500 0.000
B 0.063 0.738 0.326
B 0.412 0.738 0.674
B 0.588 0.262 0.326
B 0.937 0.262 0.674

The computed energies, referenced to the most stable structure and given in meV per atom, are model a 24; model b 0.

Model a:
! Sc2CdB | OQMD via LeMat-Bulk | PBE | optimized geometry; values from VASP
! Calculated density: 4.5 g cm⁻³
! Crystal system: hexagonal
&SYSTEM
  ibrav = 0, nat = 8, ntyp = 3
/
ATOMIC_SPECIES
Sc 44.96 Sc.upf
Cd 112.41 Cd.upf
B 10.81 B.upf
CELL_PARAMETERS angstrom
3.345 0.000 0.000
-1.672 2.897 0.000
0.000 0.000 16.204
ATOMIC_POSITIONS crystal
Sc 0.333 0.667 0.088
Sc 0.333 0.667 0.412
Sc 0.667 0.333 0.588
Sc 0.667 0.333 0.912
Cd 0.333 0.667 0.750
Cd 0.667 0.333 0.250
B 0.000 0.000 0.000
B 0.000 0.000 0.500

Model b:
! Sc2CdB | OQMD via LeMat-Bulk | PBE | optimized geometry; values from VASP
! Calculated density: 5.0 g cm⁻³
! Crystal system: cubic
&SYSTEM
  ibrav = 0, nat = 4, ntyp = 3
/
ATOMIC_SPECIES
Sc 44.96 Sc.upf
Cd 112.41 Cd.upf
B 10.81 B.upf
CELL_PARAMETERS angstrom
0.000 3.292 3.292
3.292 0.000 3.292
3.292 3.292 0.000
ATOMIC_POSITIONS crystal
Sc 0.000 0.000 0.000
Sc 0.250 0.250 0.250
Cd 0.750 0.750 0.750
B 0.500 0.500 0.500

The computed energies, referenced to the most stable structure and given in meV per atom, are model a 0; model b 821.